*1*
DFT (SCAN) results for a PBEsol-optimized structure of Li5Co3O8.

Magnetic moment, Bohr magnetons per cell: 2.00

Lattice parameters (Å, degrees): 4.8330 4.9054 5.6224 90.00 90.00 109.48
Site moments in Bohr magnetons follow the coordinates.
Fractional coordinates of all 16 atoms:
1 O 0.2495 0.7804 0.7664  0.12
2 O 0.2171 0.2268 0.5000  0.08
3 O 0.7593 0.7839 0.0000  -0.02
4 O 0.7505 0.2196 0.7664  0.12
5 O 0.2495 0.7804 0.2336  0.12
6 O 0.7505 0.2196 0.2336  0.12
7 O 0.2407 0.2161 0.0000  -0.02
8 O 0.7829 0.7732 0.5000  0.08
9 Co 0.5000 0.0000 0.0000  0.64
10 Co 0.0000 0.0000 0.7459  0.33
11 Co 0.0000 0.0000 0.2541  0.33
12 Li 0.5000 0.5000 0.7410  0.00
13 Li 0.5000 0.0000 0.5000  0.01
14 Li 0.0000 0.5000 0.0000  0.00
15 Li 0.5000 0.5000 0.2590  0.00
16 Li 0.0000 0.5000 0.5000  0.00



*2*
DFT (SCAN) results for a PBEsol-optimized structure of Li5Co3O8.

Magnetic moment, Bohr magnetons per cell: 2.00

Lattice parameters (Å, degrees): 5.5963 5.5963 5.6260 60.17 60.17 60.00
Site moments in Bohr magnetons follow the coordinates.
Fractional coordinates of all 16 atoms:
1 Li 0.0000 0.5000 0.0000  0.00
2 Li 0.0000 0.0000 0.0000  0.00
3 Li 0.5000 0.0000 0.0000  0.00
4 Li 0.5000 0.5000 0.0000  0.00
5 Li 0.5000 0.5000 0.5000  0.00
6 Co 0.5000 0.0000 0.5000  0.42
7 Co 0.0000 0.0000 0.5000  0.42
8 Co 0.0000 0.5000 0.5000  0.42
9 O 0.7495 0.7495 0.2789  0.12
10 O 0.2505 0.7780 0.7211  0.12
11 O 0.7607 0.7607 0.7178  -0.03
12 O 0.2220 0.7495 0.2789  0.12
13 O 0.2505 0.2505 0.7211  0.12
14 O 0.2393 0.2393 0.2822  -0.03
15 O 0.7780 0.2505 0.7211  0.12
16 O 0.7495 0.2220 0.2789  0.12



In kJ/mol of atoms, relative to the most stable structure: *1* 0.0; *2* 0.5.